Record 1
# MgSc4Se5

A relaxed MgSc4Se5 crystal (PBE, the Alexandria database).

- N(E_F): 12.1 states/eV/cell
- M_tot: 0.0 μB/cell
- Total DFT energy (no corrections): -5.93 eV/atom
- ΔE_f (raw): -14.93 eV per formula unit

Cell lengths 8.6827, 8.6827, 5.4721 Å; angles 90.00, 90.00, 90.00 degrees
Space group I4 (No. 79)
Inequivalent atoms, fractional coordinates:
Mg  0.0000  0.0000  0.0000 x2
Sc  0.0980  0.6935  0.4987 x8
Se  0.0000  0.0000  0.4995 x2
Se  0.0994  0.7074  0.9988 x8

***

Record 2
# Tb2HoPa2Co5

A relaxed Tb2HoPa2Co5 crystal (PBE, the Alexandria database).

- N(E_F): 9.9 states/eV/cell
- M_tot: 0.0 μB/cell
- Total DFT energy (no corrections): -6.98 eV/atom
- DFT formation energy: -0.142 eV/atom

Cell lengths 10.5042, 10.5042, 3.4573 Å; angles 90.00, 90.00, 90.00 degrees
Space group P4/mbm (No. 127)
Inequivalent atoms, fractional coordinates:
Tb  0.1716  0.3284  0.0000 x4
Ho  0.0000  0.0000  0.0000 x2
Pa  0.1354  0.6354  0.0000 x4
Co  0.0000  0.5000  0.5000 x2
Co  0.0402  0.7767  0.5000 x8

***

Record 3
# Nd2InSiPd6

A relaxed Nd2InSiPd6 crystal (PBE, the Alexandria database).

- N(E_F): 8.4 states/eV/cell
- M_tot: 0.0 μB/cell
- Total DFT energy (no corrections): -5.57 eV/atom
- ΔE_f (raw): -6.88 eV per formula unit

Cell lengths 5.6194, 8.8132, 8.4662 Å; angles 90.00, 90.00, 90.00 degrees
Space group Pmmn (No. 59, origin choice 2)
Inequivalent atoms, fractional coordinates:
Nd  0.2500  0.0013  0.2394 x4
In  0.2500  0.2500  0.7876 x2
Si  0.2500  0.7500  0.7249 x2
Pd  0.0020  0.2500  0.5075 x4
Pd  0.0034  0.7500  0.9503 x4
Pd  0.2500  0.5024  0.6032 x4

***

Record 4
# BaLaSnHg

A relaxed BaLaSnHg crystal (PBE, the Alexandria database).

- N(E_F): 20.3 states/eV/cell
- M_tot: 0.0 μB/cell
- Total DFT energy (no corrections): -3.33 eV/atom
- DFT formation energy: -0.546 eV/atom

Cell lengths 8.1540, 8.1540, 8.1540 Å; angles 90.00, 90.00, 90.00 degrees
Space group F-43m (No. 216)
Inequivalent atoms, fractional coordinates:
Ba  0.0000  0.0000  0.0000 x4
La  0.0000  0.0000  0.5000 x4
Sn  0.2500  0.2500  0.2500 x4
Hg  0.2500  0.2500  0.7500 x4

***

- What is the formula in the second record?
  Tb2HoPa2Co5

***

- total DFT energy (no corrections) of number 1 (MgSc4Se5)?
  -5.93 eV/atom

***

- Among the records above, which one has the highest N(E_F)?
  BaLaSnHg

***

- What is the M_tot in the second record?
  0.0 μB/cell